Pr4SbPbSe2: optimized geometry, PBE.

a = 4.4525 Å, b = 7.6562 Å, c = 7.6965 Å
α = 70.42°, β = 90.00°, γ = 90.00°
Fractional positions:
Pr: 0.0000 0.7600 0.7462
Pr: 0.0000 0.2400 0.2538
Pr: 0.5000 0.7586 0.2474
Pr: 0.5000 0.2414 0.7526
Sb: 0.0000 0.5000 0.5000
Pb: 0.5000 0.5000 0.0000
Se: 0.0000 0.0000 0.0000
Se: 0.5000 0.0000 0.5000

Values from the calculation:
mass density = 7057 kg/m³
spin magnetization = 0.00 μB/cell
ΔE_f (raw) = -1.3640 eV/atom